[1]
## Zr2NiP (PBE)

Data for a geometry-optimized Zr2NiP structure.

Unit cell a=5.2708 b=3.6521 c=7.4948 alpha=90.00 beta=110.40 gamma=90.00
Sites, in units of the cell vectors:
Zr 0.2169 0.2500 0.4238
Zr 0.2794 0.7500 0.0694
Zr 0.7206 0.2500 0.9306
Zr 0.7831 0.7500 0.5762
Ni 0.1487 0.2500 0.7901
Ni 0.8513 0.7500 0.2099
P 0.3572 0.7500 0.7109
P 0.6428 0.2500 0.2891

## Properties
Energy ... -64.5 eV per cell
DOS(E_F) ... 2.46 states/eV/f.u.
ΔE_f ... -0.99 eV/atom



[2]
## AgS (PBE)

Data for a geometry-optimized AgS structure.

Unit cell a=10.5764 b=4.2139 c=6.9307 alpha=90.00 beta=90.00 gamma=90.00
Sites, in units of the cell vectors:
Ag 0.0000 0.1073 0.0000
Ag 0.2156 0.3935 0.7056
Ag 0.2844 0.6065 0.2056
Ag 0.5000 0.8927 0.5000
Ag 0.7156 0.6065 0.2056
Ag 0.7844 0.3935 0.7056
S 0.0000 0.6189 0.8082
S 0.2265 0.1216 0.0261
S 0.2735 0.8784 0.5261
S 0.5000 0.3811 0.3082
S 0.7265 0.8784 0.5261
S 0.7735 0.1216 0.0261

## Properties
Energy ... -39.4 eV per cell
DOS(E_F) ... 1.22 states/eV/f.u.
Uncorrected formation energy ... 0.209 eV/atom



[3]
## Y6TeC2Se3 (PBE)

Data for a geometry-optimized Y6TeC2Se3 structure.

Unit cell a=8.9891 b=8.9891 c=8.1652 alpha=102.77 beta=102.77 gamma=25.07
Sites, in units of the cell vectors:
Y 0.0302 0.0302 0.2812
Y 0.3205 0.3205 0.4375
Y 0.3217 0.3217 0.8627
Y 0.6783 0.6783 0.1373
Y 0.6795 0.6795 0.5625
Y 0.9698 0.9698 0.7188
Te 0.5000 0.5000 0.0000
C 0.1724 0.1724 0.3406
C 0.8276 0.8276 0.6594
Se 0.1589 0.1589 0.8351
Se 0.5000 0.5000 0.5000
Se 0.8411 0.8411 0.1649

## Properties
Energy ... -86.2 eV per cell
DOS(E_F) ... 3.92 states/eV/f.u.
Uncorrected formation energy ... -1.283 eV/atom



[4]
## Ba2ZrCd (PBE)

Data for a geometry-optimized Ba2ZrCd structure.

Unit cell a=7.4963 b=7.4963 c=7.4963 alpha=101.98 beta=101.98 gamma=125.81
Sites, in units of the cell vectors:
Ba 0.1090 0.6250 0.9840
Ba 0.3750 0.3590 0.4840
Ba 0.6410 0.1250 0.0160
Ba 0.8750 0.8910 0.5160
Zr 0.2500 0.7500 0.5000
Zr 0.5000 0.5000 0.0000
Cd 0.0000 0.0000 0.0000
Cd 0.7500 0.2500 0.5000

## Properties
Energy ... -22.0 eV per cell
DOS(E_F) ... 4.05 states/eV/f.u.
ΔE_f ... 0.58 eV/atom



[5]
## InSiSe3 (PBE)

Data for a geometry-optimized InSiSe3 structure.

Unit cell a=5.2243 b=5.2243 c=5.2243 alpha=90.00 beta=90.00 gamma=90.00
Sites, in units of the cell vectors:
In 0.0000 0.0000 0.0000
Si 0.5000 0.5000 0.5000
Se 0.0000 0.0000 0.5000
Se 0.0000 0.5000 0.0000
Se 0.5000 0.0000 0.0000

## Properties
Energy ... -15.3 eV per cell
DOS(E_F) ... 3.08 states/eV/f.u.
Uncorrected formation energy ... 0.653 eV/atom